w:
# HoMg4Sc2 (PBE, optimized geometry)
data_HoMg4Sc2
_chemical_formula_sum 'Ho2 Mg8 Sc4'
_space_group_name_H-M_alt 'C m m m'
_space_group_IT_number 65
_space_group_name_Hall '-C 2 2'
_cell_length_a 9.948
_cell_length_b 10.701
_cell_length_c 3.361
_cell_angle_alpha 90.00
_cell_angle_beta 90.00
_cell_angle_gamma 90.00
loop_
_atom_site_label
_atom_site_type_symbol
_atom_site_fract_x
_atom_site_fract_y
_atom_site_fract_z
Ho1 Ho 0.000 0.000 0.000
Mg1 Mg 0.000 0.272 0.500
Mg2 Mg 0.250 0.250 0.000
Sc1 Sc 0.203 0.500 0.500
# Magnetic moment in μB/cell: 0.0
# Density of states at the Fermi level in states/eV/atom: 1.084

---

x:
# HoMg4Sc2 (PBE, optimized geometry)
data_HoMg4Sc2
_chemical_formula_sum 'Ho2 Mg8 Sc4'
_space_group_name_H-M_alt 'C m m m'
_space_group_IT_number 65
_space_group_name_Hall '-C 2 2'
_cell_length_a 5.672
_cell_length_b 11.881
_cell_length_c 5.523
_cell_angle_alpha 90.00
_cell_angle_beta 90.00
_cell_angle_gamma 90.00
loop_
_atom_site_label
_atom_site_type_symbol
_atom_site_fract_x
_atom_site_fract_y
_atom_site_fract_z
Ho1 Ho 0.000 0.000 0.000
Mg1 Mg 0.000 0.126 0.500
Mg2 Mg 0.000 0.282 0.000
Sc1 Sc 0.000 0.376 0.500
# Magnetic moment in μB/cell: 0.0
# Density of states at the Fermi level in states/eV/atom: 0.925

---

The least stable of them is x.

---

w:
# HoMg2Sc2 (PBE, optimized geometry)
data_HoMg2Sc2
_chemical_formula_sum 'Ho4 Mg8 Sc8'
_space_group_name_H-M_alt 'C m c m'
_space_group_IT_number 63
_space_group_name_Hall '-C 2c 2'
_cell_length_a 3.557
_cell_length_b 26.804
_cell_length_c 5.236
_cell_angle_alpha 90.00
_cell_angle_beta 90.00
_cell_angle_gamma 90.00
loop_
_atom_site_label
_atom_site_type_symbol
_atom_site_fract_x
_atom_site_fract_y
_atom_site_fract_z
Ho1 Ho 0.000 0.154 0.250
Mg1 Mg 0.000 0.360 0.250
Mg2 Mg 0.000 0.450 0.750
Sc1 Sc 0.000 0.045 0.750
Sc2 Sc 0.000 0.238 0.750
# Magnetic moment in μB/cell: 0.0
# Density of states at the Fermi level in states/eV/atom: 1.347

---

x:
# HoMg2Sc2 (PBE, optimized geometry)
data_HoMg2Sc2
_chemical_formula_sum 'Ho4 Mg8 Sc8'
_space_group_name_H-M_alt 'I 4/m m m'
_space_group_IT_number 139
_space_group_name_Hall '-I 4 2'
_cell_length_a 4.134
_cell_length_b 4.134
_cell_length_c 31.171
_cell_angle_alpha 90.00
_cell_angle_beta 90.00
_cell_angle_gamma 90.00
loop_
_atom_site_label
_atom_site_type_symbol
_atom_site_fract_x
_atom_site_fract_y
_atom_site_fract_z
Ho1 Ho 0.000 0.000 0.120
Mg1 Mg 0.000 0.000 0.327
Mg2 Mg 0.000 0.500 0.000
Sc1 Sc 0.000 0.000 0.426
Sc2 Sc 0.000 0.500 0.250
# Magnetic moment in μB/cell: 0.0
# Density of states at the Fermi level in states/eV/atom: 1.346

---

The least stable of them is x.

---

w:
# HoMgSc5 (PBE, optimized geometry)
data_HoMgSc5
_chemical_formula_sum 'Ho1 Mg1 Sc5'
_space_group_name_H-M_alt 'P 4/m m m'
_space_group_IT_number 123
_space_group_name_Hall '-P 4 2'
_cell_length_a 4.687
_cell_length_b 4.687
_cell_length_c 8.617
_cell_angle_alpha 90.00
_cell_angle_beta 90.00
_cell_angle_gamma 90.00
loop_
_atom_site_label
_atom_site_type_symbol
_atom_site_fract_x
_atom_site_fract_y
_atom_site_fract_z
Ho1 Ho 0.000 0.000 0.000
Mg1 Mg 0.500 0.500 0.500
Sc1 Sc 0.000 0.500 0.268
Sc2 Sc 0.500 0.500 0.000
# Magnetic moment in μB/cell: 0.0
# Density of states at the Fermi level in states/eV/atom: 1.456

---

x:
# HoMgSc5 (PBE, optimized geometry)
data_HoMgSc5
_chemical_formula_sum 'Ho4 Mg4 Sc20'
_space_group_name_H-M_alt 'C 1 2/c 1'
_space_group_IT_number 15
_space_group_name_Hall '-C 2yc'
_cell_length_a 15.581
_cell_length_b 6.005
_cell_length_c 9.680
_cell_angle_alpha 90.00
_cell_angle_beta 127.16
_cell_angle_gamma 90.00
loop_
_atom_site_label
_atom_site_type_symbol
_atom_site_fract_x
_atom_site_fract_y
_atom_site_fract_z
Ho1 Ho 0.250 0.250 0.000
Mg1 Mg 0.000 0.002 0.250
Sc1 Sc 0.000 0.467 0.750
Sc2 Sc 0.091 0.260 0.108
Sc3 Sc 0.171 0.252 0.579
# Magnetic moment in μB/cell: 0.0
# Density of states at the Fermi level in states/eV/atom: 1.728

---

The least stable of them is w.

---

w:
# HoMgSc3 (PBE, optimized geometry)
data_HoMgSc3
_chemical_formula_sum 'Ho4 Mg4 Sc12'
_space_group_name_H-M_alt 'C m c m'
_space_group_IT_number 63
_space_group_name_Hall '-C 2c 2'
_cell_length_a 5.321
_cell_length_b 14.992
_cell_length_c 6.573
_cell_angle_alpha 90.00
_cell_angle_beta 90.00
_cell_angle_gamma 90.00
loop_
_atom_site_label
_atom_site_type_symbol
_atom_site_fract_x
_atom_site_fract_y
_atom_site_fract_z
Ho1 Ho 0.000 0.116 0.250
Mg1 Mg 0.000 0.495 0.250
Sc1 Sc 0.000 0.128 0.750
Sc2 Sc 0.000 0.310 0.001
# Magnetic moment in μB/cell: 0.0
# Density of states at the Fermi level in states/eV/atom: 1.604

---

x:
# HoMgSc3 (PBE, optimized geometry)
data_HoMgSc3
_chemical_formula_sum 'Ho4 Mg4 Sc12'
_space_group_name_H-M_alt 'P n m a'
_space_group_IT_number 62
_space_group_name_Hall '-P 2ac 2n'
_cell_length_a 12.743
_cell_length_b 5.047
_cell_length_c 8.098
_cell_angle_alpha 90.00
_cell_angle_beta 90.00
_cell_angle_gamma 90.00
loop_
_atom_site_label
_atom_site_type_symbol
_atom_site_fract_x
_atom_site_fract_y
_atom_site_fract_z
Ho1 Ho 0.107 0.250 0.007
Mg1 Mg 0.005 0.750 0.660
Sc1 Sc 0.139 0.750 0.320
Sc2 Sc 0.143 0.250 0.611
Sc3 Sc 0.215 0.750 0.809
# Magnetic moment in μB/cell: 0.0
# Density of states at the Fermi level in states/eV/atom: 1.309

---

The least stable of them is x.

---

w:
# SmHoMgSc (PBE, optimized geometry)
data_SmHoMgSc
_chemical_formula_sum 'Sm1 Ho1 Mg1 Sc1'
_space_group_name_H-M_alt 'P 4 m m'
_space_group_IT_number 99
_space_group_name_Hall 'P 4 -2'
_cell_length_a 3.494
_cell_length_b 3.494
_cell_length_c 9.186
_cell_angle_alpha 90.00
_cell_angle_beta 90.00
_cell_angle_gamma 90.00
loop_
_atom_site_label
_atom_site_type_symbol
_atom_site_fract_x
_atom_site_fract_y
_atom_site_fract_z
Sm1 Sm 0.000 0.000 0.000
Ho1 Ho 0.500 0.500 0.720
Mg1 Mg 0.500 0.500 0.256
Sc1 Sc 0.000 0.000 0.471
# Magnetic moment in μB/cell: 0.0
# Density of states at the Fermi level in states/eV/atom: 1.326

---

x:
# SmHoMgSc (PBE, optimized geometry)
data_SmHoMgSc
_chemical_formula_sum 'Sm4 Ho4 Mg4 Sc4'
_space_group_name_H-M_alt 'F -4 3 m'
_space_group_IT_number 216
_space_group_name_Hall 'F -4 2 3'
_cell_length_a 7.644
_cell_length_b 7.644
_cell_length_c 7.644
_cell_angle_alpha 90.00
_cell_angle_beta 90.00
_cell_angle_gamma 90.00
loop_
_atom_site_label
_atom_site_type_symbol
_atom_site_fract_x
_atom_site_fract_y
_atom_site_fract_z
Sm1 Sm 0.000 0.000 0.000
Ho1 Ho 0.000 0.000 0.500
Mg1 Mg 0.250 0.250 0.750
Sc1 Sc 0.250 0.250 0.250
# Magnetic moment in μB/cell: 0.0
# Density of states at the Fermi level in states/eV/atom: 1.117

---

The least stable of them is x.

---

w:
# TbHoMgSc (PBE, optimized geometry)
data_TbHoMgSc
_chemical_formula_sum 'Tb4 Ho4 Mg4 Sc4'
_space_group_name_H-M_alt 'F -4 3 m'
_space_group_IT_number 216
_space_group_name_Hall 'F -4 2 3'
_cell_length_a 7.599
_cell_length_b 7.599
_cell_length_c 7.599
_cell_angle_alpha 90.00
_cell_angle_beta 90.00
_cell_angle_gamma 90.00
loop_
_atom_site_label
_atom_site_type_symbol
_atom_site_fract_x
_atom_site_fract_y
_atom_site_fract_z
Tb1 Tb 0.000 0.000 0.000
Ho1 Ho 0.000 0.000 0.500
Mg1 Mg 0.250 0.250 0.750
Sc1 Sc 0.250 0.250 0.250
# Magnetic moment in μB/cell: 0.0
# Density of states at the Fermi level in states/eV/atom: 1.026

---

x:
# TbHoMgSc (PBE, optimized geometry)
data_TbHoMgSc
_chemical_formula_sum 'Tb1 Ho1 Mg1 Sc1'
_space_group_name_H-M_alt 'P 4 m m'
_space_group_IT_number 99
_space_group_name_Hall 'P 4 -2'
_cell_length_a 3.476
_cell_length_b 3.476
_cell_length_c 9.134
_cell_angle_alpha 90.00
_cell_angle_beta 90.00
_cell_angle_gamma 90.00
loop_
_atom_site_label
_atom_site_type_symbol
_atom_site_fract_x
_atom_site_fract_y
_atom_site_fract_z
Tb1 Tb 0.000 0.000 0.000
Ho1 Ho 0.500 0.500 0.724
Mg1 Mg 0.500 0.500 0.253
Sc1 Sc 0.000 0.000 0.472
# Magnetic moment in μB/cell: 0.0
# Density of states at the Fermi level in states/eV/atom: 1.318

---

The least stable of them is w.